CeTmI6: relaxed, PBE.

POSCAR file:
```
CeTmI6
1.0
3.8540 2.2251 7.0114
-3.8540 2.2251 7.0114
0.0000 -4.4502 7.0114
Ce Tm I
1 1 6
Cartesian
0.0000 0.0000 0.0000
0.0000 0.0000 10.5171
-1.2191 -2.1560 8.8088
-2.4767 -0.0222 12.2254
-1.2576 2.1338 8.8088
1.2576 -2.1338 12.2254
2.4767 0.0222 8.8089
1.2191 2.1560 12.2254
```

Values from the calculation:
* space group: R-3, No. 148
* formation energy without anion corrections: -1.2951 eV/atom
* excess energy over the best structure of this formula in the dataset: 0.0463 eV/atom
* size of the total moment: 1.00 μB per formula unit